[1]
The following is a DFT calculation (PBE) of a relaxed TePOsS2 crystal.

Raw total energy in eV per atom: -5.07
ΔE_f (raw) in eV per atom: 0.539
Excess energy over the best structure of this formula in the dataset in kcal/mol of atoms: 0.00

a = 4.5546 Å, b = 4.5546 Å, c = 4.8475 Å
α = 90.00°, β = 90.00°, γ = 90.00°
Fractional positions:
Te (0.0000, 0.0000, 0.0000)
P (0.5000, 0.5000, 0.0000)
Os (0.5000, 0.5000, 0.5000)
S (0.0000, 0.5000, 0.5000)
S (0.5000, 0.0000, 0.5000)

---

[2]
The following is a DFT calculation (PBE) of a relaxed Th8POs3S4 crystal.

Raw total energy in eV per atom: -8.37
ΔE_f (raw) in eV per atom: -1.189

a = 8.4135 Å, b = 8.4135 Å, c = 8.4135 Å
α = 58.38°, β = 58.38°, γ = 58.38°
Fractional positions:
Th (0.2376, 0.7487, 0.7487)
Th (0.2423, 0.2423, 0.2423)
Th (0.2513, 0.2513, 0.7624)
Th (0.2513, 0.7624, 0.2513)
Th (0.7487, 0.2376, 0.7487)
Th (0.7487, 0.7487, 0.2376)
Th (0.7577, 0.7577, 0.7577)
Th (0.7624, 0.2513, 0.2513)
P (0.5000, 0.5000, 0.5000)
Os (0.0000, 0.0000, 0.5000)
Os (0.0000, 0.5000, 0.0000)
Os (0.5000, 0.0000, 0.0000)
S (0.0000, 0.0000, 0.0000)
S (0.0000, 0.5000, 0.5000)
S (0.5000, 0.0000, 0.5000)
S (0.5000, 0.5000, 0.0000)

---

[3]
The following is a DFT calculation (PBE) of a relaxed Th6P3OsS2 crystal.

Raw total energy in eV per atom: -8.11
ΔE_f (raw) in eV per atom: -1.429

a = 9.2327 Å, b = 9.2327 Å, c = 8.2603 Å
α = 102.84°, β = 102.84°, γ = 25.68°
Fractional positions:
Th (0.0011, 0.0011, 0.2602)
Th (0.3335, 0.3335, 0.9161)
Th (0.3346, 0.3346, 0.4207)
Th (0.6654, 0.6654, 0.5793)
Th (0.6665, 0.6665, 0.0839)
Th (0.9989, 0.9989, 0.7398)
P (0.1686, 0.1686, 0.3310)
P (0.5000, 0.5000, 0.0000)
P (0.8314, 0.8314, 0.6690)
Os (0.5000, 0.5000, 0.5000)
S (0.1668, 0.1668, 0.8331)
S (0.8332, 0.8332, 0.1669)

---

[4]
The following is a DFT calculation (PBE) of a relaxed Th6P2Os3S crystal.

Raw total energy in eV per atom: -8.65
ΔE_f (raw) in eV per atom: -0.883

a = 9.3898 Å, b = 9.3898 Å, c = 8.4650 Å
α = 105.50°, β = 105.50°, γ = 25.19°
Fractional positions:
Th (0.0035, 0.0035, 0.2372)
Th (0.3283, 0.3283, 0.4274)
Th (0.3367, 0.3367, 0.9103)
Th (0.6633, 0.6633, 0.0897)
Th (0.6717, 0.6717, 0.5726)
Th (0.9965, 0.9965, 0.7628)
P (0.1654, 0.1654, 0.8285)
P (0.8346, 0.8346, 0.1715)
Os (0.1651, 0.1651, 0.3321)
Os (0.5000, 0.5000, 0.0000)
Os (0.8349, 0.8349, 0.6679)
S (0.5000, 0.5000, 0.5000)

---

[5]
The following is a DFT calculation (PBE) of a relaxed TiP2OsS crystal.

Raw total energy in eV per atom: -6.23
ΔE_f (raw) in eV per atom: 0.586
Excess energy over the best structure of this formula in the dataset in kcal/mol of atoms: 0.00

a = 4.4371 Å, b = 4.4371 Å, c = 5.1681 Å
α = 90.00°, β = 90.00°, γ = 90.00°
Fractional positions:
Ti (0.0000, 0.0000, 0.0000)
P (0.0000, 0.5000, 0.5000)
P (0.5000, 0.0000, 0.5000)
Os (0.5000, 0.5000, 0.5000)
S (0.5000, 0.5000, 0.0000)

---

[6]
The following is a DFT calculation (PBE) of a relaxed TiP2OsS crystal.

Raw total energy in eV per atom: -5.77
ΔE_f (raw) in eV per atom: 1.043
Excess energy over the best structure of this formula in the dataset in kcal/mol of atoms: 10.55

a = 4.6702 Å, b = 4.6702 Å, c = 4.4571 Å
α = 90.00°, β = 90.00°, γ = 90.00°
Fractional positions:
Ti (0.0000, 0.0000, 0.0000)
P (0.0000, 0.5000, 0.0000)
P (0.5000, 0.0000, 0.0000)
Os (0.5000, 0.5000, 0.5000)
S (0.0000, 0.0000, 0.5000)

---

[7]
The following is a DFT calculation (PBE) of a relaxed TlPOsS2 crystal.

Raw total energy in eV per atom: -5.08
ΔE_f (raw) in eV per atom: 0.376
Excess energy over the best structure of this formula in the dataset in kcal/mol of atoms: 0.00

a = 4.8895 Å, b = 4.8895 Å, c = 4.4993 Å
α = 90.00°, β = 90.00°, γ = 90.00°
Fractional positions:
Tl (0.0000, 0.0000, 0.0000)
P (0.5000, 0.5000, 0.0000)
Os (0.5000, 0.5000, 0.5000)
S (0.0000, 0.5000, 0.5000)
S (0.5000, 0.0000, 0.5000)

---

[8]
The following is a DFT calculation (PBE) of a relaxed TlPOsS2 crystal.

Raw total energy in eV per atom: -3.35
ΔE_f (raw) in eV per atom: 2.104
Excess energy over the best structure of this formula in the dataset in kcal/mol of atoms: 39.83

a = 4.9751 Å, b = 4.9751 Å, c = 5.1423 Å
α = 90.00°, β = 90.00°, γ = 90.00°
Fractional positions:
Tl (0.0000, 0.0000, 0.0000)
P (0.0000, 0.0000, 0.5000)
Os (0.5000, 0.5000, 0.5000)
S (0.0000, 0.5000, 0.0000)
S (0.5000, 0.0000, 0.0000)

---

[9]
The following is a DFT calculation (PBE) of a relaxed TlP2OsS crystal.

Raw total energy in eV per atom: -5.30
ΔE_f (raw) in eV per atom: 0.408
Excess energy over the best structure of this formula in the dataset in kcal/mol of atoms: 0.00

a = 4.5009 Å, b = 4.5009 Å, c = 5.4625 Å
α = 90.00°, β = 90.00°, γ = 90.00°
Fractional positions:
Tl (0.0000, 0.0000, 0.0000)
P (0.0000, 0.5000, 0.5000)
P (0.5000, 0.0000, 0.5000)
Os (0.5000, 0.5000, 0.5000)
S (0.5000, 0.5000, 0.0000)

---

[10]
The following is a DFT calculation (PBE) of a relaxed TlP2OsS crystal.

Raw total energy in eV per atom: -3.42
ΔE_f (raw) in eV per atom: 2.289
Excess energy over the best structure of this formula in the dataset in kcal/mol of atoms: 43.38

a = 5.0336 Å, b = 5.0336 Å, c = 4.9210 Å
α = 90.00°, β = 90.00°, γ = 90.00°
Fractional positions:
Tl (0.0000, 0.0000, 0.0000)
P (0.0000, 0.5000, 0.0000)
P (0.5000, 0.0000, 0.0000)
Os (0.5000, 0.5000, 0.5000)
S (0.0000, 0.0000, 0.5000)

---

[11]
The following is a DFT calculation (PBE) of a relaxed VPOsS2 crystal.

Raw total energy in eV per atom: -5.80
ΔE_f (raw) in eV per atom: 1.000
Excess energy over the best structure of this formula in the dataset in kcal/mol of atoms: 0.00

a = 4.7090 Å, b = 4.7090 Å, c = 4.4095 Å
α = 90.00°, β = 90.00°, γ = 90.00°
Fractional positions:
V (0.0000, 0.0000, 0.0000)
P (0.5000, 0.5000, 0.0000)
Os (0.5000, 0.5000, 0.5000)
S (0.0000, 0.5000, 0.5000)
S (0.5000, 0.0000, 0.5000)

---

[12]
The following is a DFT calculation (PBE) of a relaxed VPOsS2 crystal.

Raw total energy in eV per atom: -5.80
ΔE_f (raw) in eV per atom: 1.006
Excess energy over the best structure of this formula in the dataset in kcal/mol of atoms: 0.14

a = 4.4006 Å, b = 4.4006 Å, c = 4.5999 Å
α = 90.00°, β = 90.00°, γ = 90.00°
Fractional positions:
V (0.0000, 0.0000, 0.0000)
P (0.0000, 0.0000, 0.5000)
Os (0.5000, 0.5000, 0.5000)
S (0.0000, 0.5000, 0.0000)
S (0.5000, 0.0000, 0.0000)